# Mg2TlS2, optimized geometry, DFT PBE
# E above lowest polymorph = 0.000 eV per atom
# E_form (uncorrected) = -0.783 eV per atom
# Magnetic moment = 0.00 μB/f.u.
# E = -17.73 eV for the cell shown
data_Mg2TlS2
_chemical_formula_sum 'Mg2 Tl1 S2'
_space_group_name_H-M_alt 'P 1'
_space_group_IT_number 1
_space_group_name_Hall 'P 1'
_cell_length_a 4.385
_cell_length_b 4.385
_cell_length_c 7.172
_cell_angle_alpha 72.20
_cell_angle_beta 72.20
_cell_angle_gamma 90.00
loop_
_atom_site_label
_atom_site_type_symbol
_atom_site_fract_x
_atom_site_fract_y
_atom_site_fract_z
_atom_site_occupancy
Mg1 Mg 0.750 0.250 0.500 1
Mg2 Mg 0.250 0.750 0.500 1
Tl1 Tl 0.000 0.000 0.000 1
S1 S 0.346 0.346 0.308 1
S2 S 0.654 0.654 0.692 1

---

# Mg2TlS2, optimized geometry, DFT PBE
# E above lowest polymorph = 0.179 eV per atom
# E_form (uncorrected) = -0.604 eV per atom
# Magnetic moment = 0.00 μB/f.u.
# E = -33.67 eV for the cell shown
data_Mg2TlS2
_chemical_formula_sum 'Mg4 Tl2 S4'
_space_group_name_H-M_alt 'P 1'
_space_group_IT_number 1
_space_group_name_Hall 'P 1'
_cell_length_a 7.758
_cell_length_b 7.758
_cell_length_c 3.421
_cell_angle_alpha 90.00
_cell_angle_beta 90.00
_cell_angle_gamma 90.00
loop_
_atom_site_label
_atom_site_type_symbol
_atom_site_fract_x
_atom_site_fract_y
_atom_site_fract_z
_atom_site_occupancy
Mg1 Mg 0.144 0.644 0.500 1
Mg2 Mg 0.644 0.856 0.500 1
Mg3 Mg 0.856 0.356 0.500 1
Mg4 Mg 0.356 0.144 0.500 1
Tl1 Tl 0.000 0.000 0.000 1
Tl2 Tl 0.500 0.500 0.000 1
S1 S 0.355 0.855 0.000 1
S2 S 0.855 0.645 0.000 1
S3 S 0.645 0.145 0.000 1
S4 S 0.145 0.355 0.000 1

---

# MgTl2S, optimized geometry, DFT PBE
# E_form (uncorrected) = -0.117 eV per atom
# Magnetic moment = 0.00 μB/f.u.
# E = -21.85 eV for the cell shown
data_MgTl2S
_chemical_formula_sum 'Mg2 Tl4 S2'
_space_group_name_H-M_alt 'P 1'
_space_group_IT_number 1
_space_group_name_Hall 'P 1'
_cell_length_a 8.123
_cell_length_b 8.123
_cell_length_c 6.574
_cell_angle_alpha 51.84
_cell_angle_beta 51.84
_cell_angle_gamma 90.00
loop_
_atom_site_label
_atom_site_type_symbol
_atom_site_fract_x
_atom_site_fract_y
_atom_site_fract_z
_atom_site_occupancy
Mg1 Mg 0.500 0.500 0.000 1
Mg2 Mg 0.250 0.750 0.500 1
Tl1 Tl 0.642 0.125 0.250 1
Tl2 Tl 0.108 0.625 0.250 1
Tl3 Tl 0.375 0.358 0.750 1
Tl4 Tl 0.875 0.892 0.750 1
S1 S 0.000 0.000 0.000 1
S2 S 0.750 0.250 0.500 1

---

# MgTl6S8, optimized geometry, DFT PBE
# E_form (uncorrected) = -0.075 eV per atom
# Magnetic moment = 0.00 μB/f.u.
# E = -49.94 eV for the cell shown
data_MgTl6S8
_chemical_formula_sum 'Mg1 Tl6 S8'
_space_group_name_H-M_alt 'P 1'
_space_group_IT_number 1
_space_group_name_Hall 'P 1'
_cell_length_a 7.911
_cell_length_b 7.911
_cell_length_c 7.911
_cell_angle_alpha 97.90
_cell_angle_beta 97.90
_cell_angle_gamma 97.90
loop_
_atom_site_label
_atom_site_type_symbol
_atom_site_fract_x
_atom_site_fract_y
_atom_site_fract_z
_atom_site_occupancy
Mg1 Mg 0.000 0.000 0.000 1
Tl1 Tl 0.648 0.462 0.850 1
Tl2 Tl 0.462 0.850 0.648 1
Tl3 Tl 0.850 0.648 0.462 1
Tl4 Tl 0.352 0.538 0.150 1
Tl5 Tl 0.538 0.150 0.352 1
Tl6 Tl 0.150 0.352 0.538 1
S1 S 0.803 0.803 0.803 1
S2 S 0.197 0.197 0.197 1
S3 S 0.611 0.831 0.335 1
S4 S 0.831 0.335 0.611 1
S5 S 0.335 0.611 0.831 1
S6 S 0.389 0.169 0.665 1
S7 S 0.169 0.665 0.389 1
S8 S 0.665 0.389 0.169 1

---

# MgTl6S4, optimized geometry, DFT PBE
# E_form (uncorrected) = -0.475 eV per atom
# Magnetic moment = 0.00 μB/f.u.
# E = -75.04 eV for the cell shown
data_MgTl6S4
_chemical_formula_sum 'Mg2 Tl12 S8'
_space_group_name_H-M_alt 'P 1'
_space_group_IT_number 1
_space_group_name_Hall 'P 1'
_cell_length_a 7.126
_cell_length_b 10.393
_cell_length_c 10.393
_cell_angle_alpha 120.00
_cell_angle_beta 90.00
_cell_angle_gamma 90.00
loop_
_atom_site_label
_atom_site_type_symbol
_atom_site_fract_x
_atom_site_fract_y
_atom_site_fract_z
_atom_site_occupancy
Mg1 Mg 0.746 0.333 0.667 1
Mg2 Mg 0.246 0.667 0.333 1
Tl1 Tl 0.461 0.691 0.846 1
Tl2 Tl 0.461 0.154 0.309 1
Tl3 Tl 0.461 0.154 0.846 1
Tl4 Tl 0.961 0.309 0.154 1
Tl5 Tl 0.961 0.846 0.691 1
Tl6 Tl 0.961 0.846 0.154 1
Tl7 Tl 0.625 0.930 0.465 1
Tl8 Tl 0.625 0.535 0.070 1
Tl9 Tl 0.625 0.535 0.465 1
Tl10 Tl 0.125 0.070 0.535 1
Tl11 Tl 0.125 0.465 0.930 1
Tl12 Tl 0.125 0.465 0.535 1
S1 S 0.398 0.333 0.667 1
S2 S 0.898 0.667 0.333 1
S3 S 0.863 0.596 0.798 1
S4 S 0.863 0.202 0.404 1
S5 S 0.863 0.202 0.798 1
S6 S 0.363 0.404 0.202 1
S7 S 0.363 0.798 0.596 1
S8 S 0.363 0.798 0.202 1

---

# Mg2TlS, optimized geometry, DFT PBE
# E above lowest polymorph = 0.414 eV per atom
# E_form (uncorrected) = -0.042 eV per atom
# Magnetic moment = 0.00 μB/f.u.
# E = -9.85 eV for the cell shown
data_Mg2TlS
_chemical_formula_sum 'Mg2 Tl1 S1'
_space_group_name_H-M_alt 'P 1'
_space_group_IT_number 1
_space_group_name_Hall 'P 1'
_cell_length_a 4.992
_cell_length_b 4.992
_cell_length_c 4.992
_cell_angle_alpha 60.00
_cell_angle_beta 60.00
_cell_angle_gamma 60.00
loop_
_atom_site_label
_atom_site_type_symbol
_atom_site_fract_x
_atom_site_fract_y
_atom_site_fract_z
_atom_site_occupancy
Mg1 Mg 0.250 0.250 0.250 1
Mg2 Mg 0.750 0.750 0.750 1
Tl1 Tl 0.500 0.500 0.500 1
S1 S 0.000 0.000 0.000 1

---

# Mg2Tl2S, optimized geometry, DFT PBE
# E_form (uncorrected) = -0.275 eV per atom
# Magnetic moment = 0.00 μB/f.u.
# E = -26.85 eV for the cell shown
data_Mg2Tl2S
_chemical_formula_sum 'Mg4 Tl4 S2'
_space_group_name_H-M_alt 'P 1'
_space_group_IT_number 1
_space_group_name_Hall 'P 1'
_cell_length_a 6.752
_cell_length_b 6.752
_cell_length_c 5.528
_cell_angle_alpha 90.00
_cell_angle_beta 90.00
_cell_angle_gamma 90.00
loop_
_atom_site_label
_atom_site_type_symbol
_atom_site_fract_x
_atom_site_fract_y
_atom_site_fract_z
_atom_site_occupancy
Mg1 Mg 0.344 0.844 0.000 1
Mg2 Mg 0.844 0.656 0.000 1
Mg3 Mg 0.656 0.156 0.000 1
Mg4 Mg 0.156 0.344 0.000 1
Tl1 Tl 0.161 0.661 0.500 1
Tl2 Tl 0.661 0.839 0.500 1
Tl3 Tl 0.839 0.339 0.500 1
Tl4 Tl 0.339 0.161 0.500 1
S1 S 0.000 0.000 0.000 1
S2 S 0.500 0.500 0.000 1

---

# MgTlS2, optimized geometry, DFT PBE
# E_form (uncorrected) = -0.674 eV per atom
# Magnetic moment = 0.00 μB/f.u.
# E = -14.91 eV for the cell shown
data_MgTlS2
_chemical_formula_sum 'Mg1 Tl1 S2'
_space_group_name_H-M_alt 'P 1'
_space_group_IT_number 1
_space_group_name_Hall 'P 1'
_cell_length_a 4.205
_cell_length_b 4.205
_cell_length_c 7.656
_cell_angle_alpha 74.06
_cell_angle_beta 74.06
_cell_angle_gamma 60.00
loop_
_atom_site_label
_atom_site_type_symbol
_atom_site_fract_x
_atom_site_fract_y
_atom_site_fract_z
_atom_site_occupancy
Mg1 Mg 0.486 0.486 0.541 1
Tl1 Tl 0.982 0.982 0.053 1
S1 S 0.373 0.373 0.880 1
S2 S 0.851 0.851 0.448 1

---

# MgTlS2, optimized geometry, DFT PBE
# E_form (uncorrected) = -0.675 eV per atom
# Magnetic moment = 0.00 μB/f.u.
# E = -14.91 eV for the cell shown
data_MgTlS2
_chemical_formula_sum 'Mg1 Tl1 S2'
_space_group_name_H-M_alt 'P 1'
_space_group_IT_number 1
_space_group_name_Hall 'P 1'
_cell_length_a 3.836
_cell_length_b 3.836
_cell_length_c 7.167
_cell_angle_alpha 74.47
_cell_angle_beta 74.47
_cell_angle_gamma 60.00
loop_
_atom_site_label
_atom_site_type_symbol
_atom_site_fract_x
_atom_site_fract_y
_atom_site_fract_z
_atom_site_occupancy
Mg1 Mg 0.667 0.667 0.998 1
Tl1 Tl 0.499 0.499 0.502 1
S1 S 0.069 0.069 0.792 1
S2 S 0.264 0.264 0.207 1

---

# MgTlS, optimized geometry, DFT PBE
# E above lowest polymorph = 0.025 eV per atom
# E_form (uncorrected) = -0.727 eV per atom
# Magnetic moment = 0.00 μB/f.u.
# E = -20.54 eV for the cell shown
data_MgTlS
_chemical_formula_sum 'Mg2 Tl2 S2'
_space_group_name_H-M_alt 'P 1'
_space_group_IT_number 1
_space_group_name_Hall 'P 1'
_cell_length_a 4.122
_cell_length_b 7.078
_cell_length_c 5.106
_cell_angle_alpha 90.00
_cell_angle_beta 90.00
_cell_angle_gamma 90.00
loop_
_atom_site_label
_atom_site_type_symbol
_atom_site_fract_x
_atom_site_fract_y
_atom_site_fract_z
_atom_site_occupancy
Mg1 Mg 0.000 0.583 0.811 1
Mg2 Mg 0.500 0.417 0.311 1
Tl1 Tl 0.000 0.030 0.521 1
Tl2 Tl 0.500 0.970 0.021 1
S1 S 0.000 0.617 0.311 1
S2 S 0.500 0.383 0.811 1

---

# MgTlS, optimized geometry, DFT PBE
# E above lowest polymorph = 0.000 eV per atom
# E_form (uncorrected) = -0.752 eV per atom
# Magnetic moment = 0.00 μB/f.u.
# E = -20.69 eV for the cell shown
data_MgTlS
_chemical_formula_sum 'Mg2 Tl2 S2'
_space_group_name_H-M_alt 'P 1'
_space_group_IT_number 1
_space_group_name_Hall 'P 1'
_cell_length_a 3.988
_cell_length_b 3.987
_cell_length_c 11.953
_cell_angle_alpha 80.17
_cell_angle_beta 80.14
_cell_angle_gamma 59.96
loop_
_atom_site_label
_atom_site_type_symbol
_atom_site_fract_x
_atom_site_fract_y
_atom_site_fract_z
_atom_site_occupancy
Mg1 Mg 0.937 0.959 0.484 1
Mg2 Mg 0.369 0.388 0.200 1
Tl1 Tl 0.766 0.789 0.988 1
Tl2 Tl 0.165 0.188 0.790 1
S1 S 0.247 0.270 0.550 1
S2 S 0.012 0.031 0.270 1

---

# Mg2TlS, optimized geometry, DFT PBE
# E above lowest polymorph = 0.000 eV per atom
# E_form (uncorrected) = -0.456 eV per atom
# Magnetic moment = 0.00 μB/f.u.
# E = -23.01 eV for the cell shown
data_Mg2TlS
_chemical_formula_sum 'Mg4 Tl2 S2'
_space_group_name_H-M_alt 'P 1'
_space_group_IT_number 1
_space_group_name_Hall 'P 1'
_cell_length_a 7.524
_cell_length_b 7.524
_cell_length_c 6.264
_cell_angle_alpha 53.09
_cell_angle_beta 53.09
_cell_angle_gamma 90.00
loop_
_atom_site_label
_atom_site_type_symbol
_atom_site_fract_x
_atom_site_fract_y
_atom_site_fract_z
_atom_site_occupancy
Mg1 Mg 0.568 0.125 0.250 1
Mg2 Mg 0.182 0.625 0.250 1
Mg3 Mg 0.375 0.432 0.750 1
Mg4 Mg 0.875 0.818 0.750 1
Tl1 Tl 0.000 0.000 0.000 1
Tl2 Tl 0.750 0.250 0.500 1
S1 S 0.500 0.500 0.000 1
S2 S 0.250 0.750 0.500 1